Density functional theory data (PBE-GGA) for a relaxed Y5Bi5C crystal.

Properties
Its space group is C2/m (12). The formation energy comes out at -0.493 eV/atom. For the volume, the calculation gives 29.7 A^3/atom. Its magnetic moment is 0.0 μB/cell. For the density of states at the Fermi level, the calculation gives 4.145 states/eV/f.u.

a b c (Å): 6.073 7.164 9.263
angles (deg): 113.97 90.00 115.08
Fractional positions:
Bi 0.388 0.775 0.238
Bi 0.717 0.434 0.336
Y 0.154 0.308 0.278
Bi 0.000 0.000 0.500
Y 0.145 0.290 0.896
Y 0.846 0.692 0.722
C 0.000 0.000 0.000
Bi 0.612 0.225 0.762
Y 0.855 0.710 0.104
Y 0.500 0.000 0.000
Bi 0.283 0.566 0.664

***

Density functional theory data (PBE-GGA) for a relaxed Y6Bi3C crystal.

Properties
Its space group is Cmc2_1 (36). The formation energy comes out at -0.451 eV/atom. For the volume, the calculation gives 31.6 A^3/atom. Its magnetic moment is 4.7 μB/cell. For the density of states at the Fermi level, the calculation gives 8.857 states/eV/f.u.

a b c (Å): 7.233 9.419 9.419
angles (deg): 100.42 90.00 90.00
Fractional positions:
Bi 0.489 0.272 0.072
Y 0.220 0.773 0.227
C 0.528 0.807 0.193
Y 0.195 0.379 0.303
Y 0.195 0.697 0.621
Y 0.720 0.227 0.773
Bi 0.489 0.928 0.728
Y 0.656 0.950 0.050
Y 0.162 0.411 0.896
Y 0.662 0.896 0.411
Bi 0.390 0.390 0.610
Bi 0.989 0.728 0.928
C 0.028 0.193 0.807
Y 0.162 0.104 0.589
Y 0.662 0.589 0.104
Y 0.695 0.621 0.697
Y 0.695 0.303 0.379
Bi 0.890 0.610 0.390
Bi 0.989 0.072 0.272
Y 0.156 0.050 0.950

***

Density functional theory data (PBE-GGA) for a relaxed Zn3BiC crystal.

Properties
Its space group is Pm-3m (221). The formation energy comes out at 0.677 eV/atom. For the volume, the calculation gives 16.9 A^3/atom. Its magnetic moment is 0.0 μB/cell. For the density of states at the Fermi level, the calculation gives 4.390 states/eV/f.u.

a b c (Å): 4.384 4.384 4.384
angles (deg): 90.00 90.00 90.00
Fractional positions:
Bi 0.500 0.500 0.500
Zn 0.500 0.000 0.000
Zn 0.000 0.500 0.000
Zn 0.000 0.000 0.500
C 0.000 0.000 0.000

***

Density functional theory data (PBE-GGA) for a relaxed Zn2BiC crystal.

Properties
Its space group is I-42d (122). The formation energy comes out at 0.667 eV/atom. For the volume, the calculation gives 21.4 A^3/atom. Its magnetic moment is 0.0 μB/cell. For the density of states at the Fermi level, the calculation gives 0.439 states/eV/f.u.

a b c (Å): 6.222 6.222 6.231
angles (deg): 60.05 60.05 90.00
Fractional positions:
Bi 0.000 0.000 0.000
Zn 0.360 0.625 0.250
Zn 0.875 0.640 0.750
C 0.500 0.500 0.000
C 0.250 0.750 0.500
Zn 0.375 0.610 0.750
Bi 0.750 0.250 0.500
Zn 0.390 0.125 0.250

***

Density functional theory data (PBE-GGA) for a relaxed ZnBi3C crystal.

Properties
Its space group is Pm-3m (221). The formation energy comes out at 0.995 eV/atom. For the volume, the calculation gives 25.2 A^3/atom. Its magnetic moment is 0.0 μB/cell. For the density of states at the Fermi level, the calculation gives 4.385 states/eV/f.u.

a b c (Å): 5.016 5.016 5.016
angles (deg): 90.00 90.00 90.00
Fractional positions:
Bi 0.000 0.000 0.500
Zn 0.500 0.500 0.500
Bi 0.000 0.500 0.000
Bi 0.500 0.000 0.000
C 0.000 0.000 0.000

***

Density functional theory data (PBE-GGA) for a relaxed ZnBiC3 crystal.

Properties
Its space group is Pm-3m (221). The formation energy comes out at 3.349 eV/atom. For the volume, the calculation gives 18.8 A^3/atom. Its magnetic moment is 2.5 μB/cell. For the density of states at the Fermi level, the calculation gives 4.819 states/eV/f.u.

a b c (Å): 4.544 4.544 4.544
angles (deg): 90.00 90.00 90.00
Fractional positions:
C 0.500 0.000 0.000
Bi 0.000 0.000 0.000
Zn 0.500 0.500 0.500
C 0.000 0.500 0.000
C 0.000 0.000 0.500

***

Density functional theory data (PBE-GGA) for a relaxed ZnBi2C crystal.

Properties
Its space group is I-42d (122). The formation energy comes out at 0.868 eV/atom. For the volume, the calculation gives 25.4 A^3/atom. Its magnetic moment is 0.0 μB/cell. For the density of states at the Fermi level, the calculation gives 0.139 states/eV/f.u.

a b c (Å): 6.074 6.074 6.992
angles (deg): 64.25 64.25 90.00
Fractional positions:
Bi 0.176 0.625 0.250
C 0.500 0.500 0.000
Bi 0.574 0.125 0.250
Zn 0.000 0.000 0.000
Bi 0.375 0.426 0.750
C 0.250 0.750 0.500
Zn 0.750 0.250 0.500
Bi 0.875 0.824 0.750

***

Density functional theory data (PBE-GGA) for a relaxed ZnBi3C crystal.

Properties
Its space group is Pm-3m (221). The formation energy comes out at 1.770 eV/atom. For the volume, the calculation gives 31.0 A^3/atom. Its magnetic moment is 1.3 μB/cell. For the density of states at the Fermi level, the calculation gives 6.992 states/eV/f.u.

a b c (Å): 5.372 5.372 5.372
angles (deg): 90.00 90.00 90.00
Fractional positions:
Zn 0.000 0.000 0.000
C 0.500 0.500 0.500
Bi 0.000 0.000 0.500
Bi 0.000 0.500 0.000
Bi 0.500 0.000 0.000

***

Density functional theory data (PBE-GGA) for a relaxed Zn2BiC crystal.

Properties
Its space group is Fm-3m (225). The formation energy comes out at 1.477 eV/atom. For the volume, the calculation gives 18.0 A^3/atom. Its magnetic moment is 0.0 μB/cell. For the density of states at the Fermi level, the calculation gives 1.896 states/eV/f.u.

a b c (Å): 4.669 4.669 4.669
angles (deg): 60.00 60.00 60.00
Fractional positions:
Zn 0.750 0.750 0.750
Bi 0.500 0.500 0.500
C 0.000 0.000 0.000
Zn 0.250 0.250 0.250

***

Density functional theory data (PBE-GGA) for a relaxed ZnBi2C crystal.

Properties
Its space group is Fm-3m (225). The formation energy comes out at 1.336 eV/atom. For the volume, the calculation gives 21.2 A^3/atom. Its magnetic moment is 0.0 μB/cell. For the density of states at the Fermi level, the calculation gives 2.839 states/eV/f.u.

a b c (Å): 4.930 4.930 4.930
angles (deg): 60.00 60.00 60.00
Fractional positions:
C 0.000 0.000 0.000
Zn 0.500 0.500 0.500
Bi 0.250 0.250 0.250
Bi 0.750 0.750 0.750

***

Density functional theory data (PBE-GGA) for a relaxed Zn3BiC crystal.

Properties
Its space group is Pm-3m (221). The formation energy comes out at 1.820 eV/atom. For the volume, the calculation gives 34.5 A^3/atom. Its magnetic moment is 2.6 μB/cell. For the density of states at the Fermi level, the calculation gives 2.182 states/eV/f.u.

a b c (Å): 5.567 5.567 5.567
angles (deg): 90.00 90.00 90.00
Fractional positions:
C 0.500 0.500 0.500
Zn 0.000 0.500 0.000
Zn 0.000 0.000 0.500
Bi 0.000 0.000 0.000
Zn 0.500 0.000 0.000

***

Density functional theory data (PBE-GGA) for a relaxed ZnBiC3 crystal.

Properties
Its space group is Pm-3m (221). The formation energy comes out at 2.648 eV/atom. For the volume, the calculation gives 13.8 A^3/atom. Its magnetic moment is 0.0 μB/cell. For the density of states at the Fermi level, the calculation gives 5.138 states/eV/f.u.

a b c (Å): 4.098 4.098 4.098
angles (deg): 90.00 90.00 90.00
Fractional positions:
C 0.000 0.000 0.500
C 0.500 0.000 0.000
Zn 0.000 0.000 0.000
Bi 0.500 0.500 0.500
C 0.000 0.500 0.000

***

Density functional theory data (PBE-GGA) for a relaxed Zr12Bi6C crystal.

Properties
Its space group is R-3 (148). The formation energy comes out at -0.159 eV/atom. For the volume, the calculation gives 25.1 A^3/atom. Its magnetic moment is 0.0 μB/cell. For the density of states at the Fermi level, the calculation gives 21.014 states/eV/f.u.

a b c (Å): 7.987 7.987 7.987
angles (deg): 101.06 101.06 101.06
Fractional positions:
Zr 0.207 0.405 0.510
Zr 0.405 0.510 0.207
Bi 0.337 0.685 0.895
Zr 0.793 0.595 0.490
Zr 0.595 0.490 0.793
C 0.000 0.000 0.000
Zr 0.020 0.295 0.060
Zr 0.510 0.207 0.405
Zr 0.705 0.940 0.980
Zr 0.060 0.020 0.295
Zr 0.490 0.793 0.595
Bi 0.315 0.105 0.663
Bi 0.685 0.895 0.337
Bi 0.895 0.337 0.685
Zr 0.940 0.980 0.705
Bi 0.663 0.315 0.105
Zr 0.295 0.060 0.020
Bi 0.105 0.663 0.315
Zr 0.980 0.705 0.940

***

Density functional theory data (PBE-GGA) for a relaxed Zr12Bi5C2 crystal.

Properties
Its space group is C2/m (12). The formation energy comes out at -0.194 eV/atom. For the volume, the calculation gives 24.9 A^3/atom. Its magnetic moment is 0.0 μB/cell. For the density of states at the Fermi level, the calculation gives 16.371 states/eV/f.u.

a b c (Å): 7.044 8.881 8.669
angles (deg): 106.63 90.00 113.36
Fractional positions:
Zr 0.004 0.007 0.171
Zr 0.411 0.265 0.534
Zr 0.854 0.265 0.534
Bi 0.687 0.375 0.846
Zr 0.373 0.285 0.080
Bi 0.313 0.625 0.154
Bi 0.277 0.555 0.652
Zr 0.996 0.993 0.829
Bi 0.000 0.000 0.500
C 0.738 0.000 0.000
Zr 0.088 0.715 0.920
Zr 0.627 0.715 0.920
Bi 0.723 0.445 0.348
Zr 0.490 0.981 0.806
Zr 0.589 0.735 0.466
Zr 0.146 0.735 0.466
C 0.262 0.000 0.000
Zr 0.912 0.285 0.080
Zr 0.510 0.019 0.194

***

Density functional theory data (PBE-GGA) for a relaxed Zr3Bi2C crystal.

Properties
Its space group is C2/c (15). The formation energy comes out at -0.377 eV/atom. For the volume, the calculation gives 21.9 A^3/atom. Its magnetic moment is 0.0 μB/cell. For the density of states at the Fermi level, the calculation gives 4.095 states/eV/f.u.

a b c (Å): 5.557 6.727 7.740
angles (deg): 102.36 111.04 90.00
Fractional positions:
Zr 0.499 0.250 0.000
Zr 0.894 0.448 0.788
Bi 0.313 0.406 0.626
Bi 0.687 0.594 0.374
Zr 0.501 0.750 0.000
C 0.999 0.750 0.000
Zr 0.106 0.052 0.212
C 0.001 0.250 0.000
Zr 0.894 0.948 0.788
Zr 0.106 0.552 0.212
Bi 0.313 0.906 0.626
Bi 0.687 0.094 0.374

***

Density functional theory data (PBE-GGA) for a relaxed Zr2BiC crystal.

Properties
Its space group is R3m (160). The formation energy comes out at -0.626 eV/atom. For the volume, the calculation gives 19.1 A^3/atom. Its magnetic moment is 0.0 μB/cell. For the density of states at the Fermi level, the calculation gives 1.658 states/eV/f.u.

a b c (Å): 3.465 3.465 7.599
angles (deg): 76.82 76.82 60.00
Fractional positions:
C 0.667 0.667 0.998
Zr 0.055 0.055 0.834
Bi 0.499 0.499 0.502
Zr 0.278 0.278 0.165

***

Density functional theory data (PBE-GGA) for a relaxed Zr3BiC crystal.

Properties
Its space group is Pm-3m (221). The formation energy comes out at -0.339 eV/atom. For the volume, the calculation gives 19.8 A^3/atom. Its magnetic moment is 0.0 μB/cell. For the density of states at the Fermi level, the calculation gives 5.801 states/eV/f.u.

a b c (Å): 4.627 4.627 4.627
angles (deg): 90.00 90.00 90.00
Fractional positions:
Zr 0.000 0.000 0.500
Zr 0.000 0.500 0.000
C 0.000 0.000 0.000
Bi 0.500 0.500 0.500
Zr 0.500 0.000 0.000

***

Density functional theory data (PBE-GGA) for a relaxed Zr4Bi2C crystal.

Properties
Its space group is P2_1/m (11). The formation energy comes out at -0.233 eV/atom. For the volume, the calculation gives 23.0 A^3/atom. Its magnetic moment is 0.0 μB/cell. For the density of states at the Fermi level, the calculation gives 4.366 states/eV/f.u.

a b c (Å): 7.008 6.253 7.626
angles (deg): 90.00 105.48 90.00
Fractional positions:
Zr 0.483 0.501 0.740
Bi 0.766 0.750 0.059
Zr 0.127 0.750 0.390
Zr 0.517 0.001 0.260
Zr 0.143 0.750 0.922
Zr 0.517 0.499 0.260
Zr 0.873 0.250 0.610
Bi 0.219 0.250 0.426
C 0.702 0.250 0.799
C 0.298 0.750 0.201
Zr 0.483 0.999 0.740
Zr 0.857 0.250 0.078
Bi 0.781 0.750 0.574
Bi 0.234 0.250 0.941

***

Density functional theory data (PBE-GGA) for a relaxed Zr6Bi2C crystal.

Properties
Its space group is P2_1/c (14). The formation energy comes out at -0.311 eV/atom. For the volume, the calculation gives 22.2 A^3/atom. Its magnetic moment is 0.0 μB/cell. For the density of states at the Fermi level, the calculation gives 7.725 states/eV/f.u.

a b c (Å): 6.020 7.039 9.421
angles (deg): 90.00 92.30 90.00
Fractional positions:
Bi 0.411 0.098 0.247
Bi 0.589 0.902 0.753
C 0.000 0.000 0.500
Zr 0.386 0.514 0.759
Zr 0.846 0.704 0.529
Zr 0.886 0.986 0.259
Bi 0.089 0.598 0.253
Zr 0.665 0.177 0.525
Zr 0.346 0.796 0.029
Zr 0.335 0.823 0.475
Bi 0.911 0.402 0.747
Zr 0.165 0.323 0.025
C 0.500 0.500 0.000
Zr 0.614 0.486 0.241
Zr 0.114 0.014 0.741
Zr 0.154 0.296 0.471
Zr 0.654 0.204 0.971
Zr 0.835 0.677 0.975

***

Density functional theory data (PBE-GGA) for a relaxed Zr4BiC2 crystal.

Properties
Its space group is R-3m (166). The formation energy comes out at -0.589 eV/atom. For the volume, the calculation gives 18.4 A^3/atom. Its magnetic moment is 0.0 μB/cell. For the density of states at the Fermi level, the calculation gives 3.858 states/eV/f.u.

a b c (Å): 3.416 3.416 12.930
angles (deg): 82.41 82.41 60.00
Fractional positions:
C 0.570 0.570 0.289
Zr 0.268 0.268 0.196
Zr 0.130 0.130 0.610
C 0.430 0.430 0.711
Bi 0.000 0.000 0.000
Zr 0.732 0.732 0.804
Zr 0.870 0.870 0.390

***

Density functional theory data (PBE-GGA) for a relaxed Zr3BiC crystal.

Properties
Its space group is Cmmm (65). The formation energy comes out at -0.518 eV/atom. For the volume, the calculation gives 20.4 A^3/atom. Its magnetic moment is 0.0 μB/cell. For the density of states at the Fermi level, the calculation gives 2.888 states/eV/f.u.

a b c (Å): 3.578 7.737 7.737
angles (deg): 71.86 90.00 90.00
Fractional positions:
Zr 0.863 0.352 0.814
Zr 0.363 0.405 0.457
Zr 0.863 0.626 0.089
Bi 0.863 0.194 0.246
Zr 0.863 0.037 0.678
Bi 0.363 0.694 0.746
C 0.363 0.694 0.246
C 0.363 0.194 0.746
Zr 0.363 0.984 0.036
Zr 0.863 0.762 0.404

***

Density functional theory data (PBE-GGA) for a relaxed Zr5Bi2C crystal.

Properties
Its space group is Cmcm (63). The formation energy comes out at 0.009 eV/atom. For the volume, the calculation gives 25.7 A^3/atom. Its magnetic moment is 0.0 μB/cell. For the density of states at the Fermi level, the calculation gives 6.196 states/eV/f.u.

a b c (Å): 4.223 8.239 12.247
angles (deg): 90.00 90.00 104.85
Fractional positions:
Zr 0.240 0.480 0.750
C 0.769 0.538 0.750
Zr 0.306 0.612 0.057
Zr 0.760 0.520 0.250
Zr 0.306 0.612 0.443
Zr 0.875 0.751 0.871
Bi 0.067 0.134 0.619
Zr 0.125 0.249 0.129
Bi 0.067 0.134 0.881
Bi 0.933 0.866 0.381
Zr 0.125 0.249 0.371
Zr 0.875 0.751 0.629
Zr 0.694 0.388 0.557
Bi 0.933 0.866 0.119
C 0.231 0.462 0.250
Zr 0.694 0.388 0.943

***

Density functional theory data (PBE-GGA) for a relaxed Zr4Bi2C crystal.

Properties
Its space group is I4/mmm (139). The formation energy comes out at -0.398 eV/atom. For the volume, the calculation gives 22.5 A^3/atom. Its magnetic moment is 0.0 μB/cell. For the density of states at the Fermi level, the calculation gives 5.607 states/eV/f.u.

a b c (Å): 4.521 4.521 8.347
angles (deg): 105.71 105.71 90.00
Fractional positions:
Zr 0.149 0.149 0.297
Zr 0.851 0.851 0.703
Zr 0.000 0.500 0.000
C 0.000 0.000 0.000
Bi 0.649 0.649 0.299
Bi 0.351 0.351 0.701
Zr 0.500 0.000 0.000